(1)
# YCd3Ge

A geometry-optimized YCd3Ge structure (PBE, Alexandria via LeMat-Bulk).

Computed properties:
E above lowest polymorph: 0.0000 eV/atom
mass density: 5.986 g/cm3
DFT total energy: -2.49 eV/atom
energy of formation: 0.2706 eV/atom

Unit cell a=5.1722 b=5.1722 c=5.1722 alpha=90.00 beta=90.00 gamma=90.00
Space group Pm-3m (No. 221)
Asymmetric unit:
Y: 0.0000 0.0000 0.0000 [1 per cell]
Cd: 0.0000 0.5000 0.5000 [3 per cell]
Ge: 0.5000 0.5000 0.5000 [1 per cell]

---

(2)
# YCd2Ge2

A geometry-optimized YCd2Ge2 structure (PBE, Alexandria via LeMat-Bulk).

Computed properties:
E above lowest polymorph: 0.1919 eV/atom
mass density: 6.468 g/cm3
DFT total energy: -3.56 eV/atom
energy of formation: -0.0540 eV/atom

Unit cell a=4.8336 b=4.8336 c=10.0874 alpha=90.00 beta=90.00 gamma=90.00
Space group I4/mmm (No. 139)
Asymmetric unit:
Y: 0.0000 0.0000 0.0000 [2 per cell]
Cd: 0.0000 0.0000 0.3692 [4 per cell]
Ge: 0.0000 0.5000 0.2500 [4 per cell]